[1]
Material: Na2NpIrO6
Method: DFT, PBE
State: relaxed

Cell and atoms, written as POSCAR:
```
Na2NpIrO6
1.0
5.726 0.000 0.000
0.000 5.726 0.000
0.000 0.000 4.079
Na Np Ir O
2 1 1 6
direct
0.000 0.500 0.000 Na
0.500 0.000 0.000 Na
0.000 0.000 0.503 Np
0.500 0.500 0.504 Ir
0.000 0.000 0.004 O
0.253 0.253 0.504 O
0.253 0.747 0.504 O
0.500 0.500 0.004 O
0.747 0.253 0.504 O
0.747 0.747 0.504 O
```

Output
**ΔE_f (raw)**: -1814 meV/atom
**M_tot**: 0.09 μB/atom
**Density of states at the Fermi level**: 6.49 states/eV/cell

[2]
Material: Na2NpIrO8
Method: DFT, PBE
State: relaxed

Cell and atoms, written as POSCAR:
```
Na2NpIrO8
1.0
5.182 0.000 0.000
0.000 6.317 0.000
-0.162 0.000 5.206
Na Np Ir O
2 1 1 8
direct
0.000 0.243 0.000 Na
0.000 0.757 0.000 Na
0.500 0.500 0.500 Np
0.500 0.000 0.500 Ir
0.244 0.500 0.241 O
0.255 0.000 0.251 O
0.318 0.236 0.678 O
0.318 0.764 0.678 O
0.682 0.236 0.322 O
0.682 0.764 0.322 O
0.745 0.000 0.749 O
0.756 0.500 0.759 O
```

Output
**ΔE_f (raw)**: -1588 meV/atom
**M_tot**: 0.00 μB/atom
**Density of states at the Fermi level**: 1.86 states/eV/cell

[3]
Material: NaNpIr4S8
Method: DFT, PBE
State: relaxed

Cell and atoms, written as POSCAR:
```
NaNpIr4S8
1.0
3.663 2.115 5.844
-3.663 2.115 5.844
0.000 -4.230 5.844
Na Np Ir S
1 1 4 8
direct
0.000 0.000 0.000 Na
0.618 0.618 0.618 Np
0.127 0.628 0.628 Ir
0.249 0.249 0.249 Ir
0.628 0.127 0.628 Ir
0.628 0.628 0.127 Ir
0.363 0.363 0.862 S
0.363 0.862 0.363 S
0.389 0.389 0.389 S
0.421 0.873 0.873 S
0.857 0.857 0.857 S
0.862 0.363 0.363 S
0.873 0.421 0.873 S
0.873 0.873 0.421 S
```

Output
**ΔE_f (raw)**: -506 meV/atom
**M_tot**: 0.23 μB/atom
**Density of states at the Fermi level**: 14.99 states/eV/cell

[4]
Material: Na3NpIr2S6
Method: DFT, PBE
State: relaxed

Cell and atoms, written as POSCAR:
```
Na3NpIr2S6
1.0
3.142 -5.439 0.000
3.142 5.439 0.000
-2.125 0.000 6.804
Na Np Ir S
3 1 2 6
direct
0.000 0.000 0.000 Na
0.342 0.658 0.000 Na
0.658 0.342 0.000 Na
0.500 0.500 0.500 Np
0.167 0.833 0.500 Ir
0.833 0.167 0.500 Ir
0.060 0.430 0.293 S
0.200 0.200 0.707 S
0.430 0.060 0.293 S
0.570 0.940 0.707 S
0.800 0.800 0.293 S
0.940 0.570 0.707 S
```

Output
**ΔE_f (raw)**: -881 meV/atom
**M_tot**: 0.33 μB/atom
**Density of states at the Fermi level**: 5.62 states/eV/cell